1.
{
  "formula": "CeTmCoAu",
  "functional": "PBE-GGA",
  "state": "optimized geometry",
  "dft_energy_ha_per_atom": -0.2043,
  "formation_enthalpy_0k_ev_per_atom": -0.36,
  "sg": "F-43m, No. 216",
  "lattice": [[-0.0604, -2.1613, -4.4550], [4.2033, -0.4886, -2.5721], [2.0249, -4.4780, -0.6072]],
  "species": ["Au", "Co", "Ce", "Tm"],
  "fractional_positions": [[0.0000, 0.0000, 0.0000], [0.5000, 0.5000, 0.5000], [0.7500, 0.7500, 0.7500], [0.2500, 0.2500, 0.2500]]
}


2.
{
  "formula": "GdTm3",
  "functional": "PBE-GGA",
  "state": "optimized geometry",
  "relative_energy_ev_per_atom": 0.028,
  "dft_energy_ha_per_atom": -0.2516,
  "formation_enthalpy_0k_ev_per_atom": 0.03,
  "sg": "Pm-3m, No. 221",
  "lattice": [[4.9608, 0.0000, 0.0000], [0.0000, 4.9608, 0.0000], [0.0000, 0.0000, 4.9608]],
  "species": ["Gd", "Tm", "Tm", "Tm"],
  "fractional_positions": [[0.0000, 0.0000, 0.0000], [0.5000, 0.5000, 0.0000], [0.0000, 0.5000, 0.5000], [0.5000, 0.0000, 0.5000]]
}


3.
{
  "formula": "TiAsRhSe2",
  "functional": "PBE-GGA",
  "state": "optimized geometry",
  "raw_formation_energy_ev_per_atom": 0.377,
  "relative_energy_ev_per_atom": 0.039,
  "dft_energy_ha_per_atom": -0.1836,
  "sg": "P4/mmm, No. 123",
  "lattice": [[-2.9680, -3.1596, 2.3236], [2.8775, 0.2257, 3.9825], [-2.4993, 3.5287, 1.6059]],
  "species": ["Ti", "Se", "Se", "Rh", "As"],
  "fractional_positions": [[0.5000, 0.5000, 0.5000], [0.5000, 0.0000, 0.0000], [0.0000, 0.5000, 0.0000], [0.0000, 0.0000, 0.0000], [0.0000, 0.0000, 0.5000]]
}


4.
{
  "formula": "Sr2BeBiO6",
  "functional": "PBE-GGA",
  "state": "optimized geometry",
  "raw_formation_energy_ev_per_atom": -1.706,
  "dft_energy_ha_per_atom": -0.2123,
  "sg": "P-3m1, No. 164",
  "lattice": [[-0.9393, 0.5105, 5.1519], [1.0573, -5.4524, 0.7331], [4.1564, 3.7361, 0.3875]],
  "species": ["Sr", "Sr", "Bi", "O", "O", "O", "O", "O", "O", "Be"],
  "fractional_positions": [[0.1430, 0.3333, 0.6667], [0.8570, 0.6667, 0.3333], [0.5000, 0.0000, 0.0000], [0.2173, 0.8438, 0.6877], [0.2173, 0.3123, 0.1562], [0.2173, 0.8438, 0.1562], [0.7827, 0.6877, 0.8438], [0.7827, 0.1562, 0.8438], [0.7827, 0.1562, 0.3123], [0.0000, 0.0000, 0.0000]]
}


5.
{
  "formula": "MgTiBr3",
  "functional": "PBE-GGA",
  "state": "optimized geometry",
  "raw_formation_energy_ev_per_atom": -0.631,
  "relative_energy_ev_per_atom": 0.000,
  "dft_energy_ha_per_atom": -0.1298,
  "sg": "Pm-3m, No. 221",
  "lattice": [[5.2426, 0.0000, 0.0000], [0.0000, 5.2426, 0.0000], [0.0000, 0.0000, 5.2426]],
  "species": ["Mg", "Br", "Br", "Br", "Ti"],
  "fractional_positions": [[0.5000, 0.5000, 0.5000], [0.0000, 0.0000, 0.5000], [0.0000, 0.5000, 0.0000], [0.5000, 0.0000, 0.0000], [0.0000, 0.0000, 0.0000]]
}


6.
{
  "formula": "Ba4P3HF24",
  "functional": "PBE-GGA",
  "state": "optimized geometry",
  "dft_energy_ha_per_atom": -0.1952,
  "sg": "P-1, No. 2",
  "lattice": [[4.8044, 0.0002, -0.0218], [1.7647, 9.0740, -0.0056], [0.9024, 4.3970, 10.9781]],
  "species": ["F", "F", "F", "F", "F", "F", "F", "F", "F", "F", "F", "F", "F", "F", "F", "F", "F", "F", "F", "F", "F", "F", "F", "F", "Ba", "Ba", "Ba", "Ba", "P", "P", "P", "H"],
  "fractional_positions": [[0.4192, 0.1306, 0.6609], [0.8700, 0.8356, 0.0406], [0.5808, 0.8694, 0.3391], [0.8904, 0.3082, 0.4690], [0.9823, 0.9424, 0.3827], [0.2727, 0.7156, 0.7676], [0.7493, 0.0897, 0.8972], [0.9792, 0.2816, 0.6661], [0.2957, 0.3803, 0.5135], [0.2008, 0.9472, 0.8999], [0.7043, 0.6197, 0.4865], [0.7992, 0.0528, 0.1001], [0.8456, 0.5253, 0.7768], [0.0208, 0.7184, 0.3339], [0.2507, 0.9103, 0.1028], [0.5974, 0.5987, 0.0112], [0.1300, 0.1644, 0.9594], [0.1544, 0.4747, 0.2232], [0.0177, 0.0576, 0.6173], [0.7273, 0.2844, 0.2324], [0.1096, 0.6918, 0.5310], [0.6682, 0.8414, 0.5376], [0.4026, 0.4013, 0.9888], [0.3318, 0.1586, 0.4624], [0.7361, 0.8022, 0.7917], [0.2639, 0.1978, 0.2083], [0.3827, 0.4398, 0.7525], [0.6173, 0.5602, 0.2475], [0.1535, 0.2189, 0.5633], [0.8465, 0.7811, 0.4367], [0.0000, 0.0000, 0.0000], [0.5000, 0.5000, 0.0000]]
}


7.
{
  "formula": "SrAsRh",
  "functional": "PBE-GGA",
  "state": "optimized geometry",
  "dft_energy_ha_per_atom": -0.1965,
  "formation_enthalpy_0k_ev_per_atom": -0.79,
  "sg": "P4/nmm, No. 129",
  "lattice": [[-0.0094, 1.8953, 3.6723], [-0.8293, -3.5981, 1.8552], [8.3474, -1.5105, 0.8009]],
  "species": ["Sr", "Sr", "Rh", "Rh", "As", "As"],
  "fractional_positions": [[0.8136, 0.8665, 0.6093], [0.3136, 0.3665, 0.2299], [0.8136, 0.3664, 0.9196], [0.3136, 0.8665, 0.9196], [0.8135, 0.8664, 0.0893], [0.3136, 0.3665, 0.7499]]
}


8.
{
  "formula": "PuIn6",
  "functional": "PBE-GGA",
  "state": "optimized geometry",
  "relative_energy_ev_per_atom": 0.463,
  "dft_energy_ha_per_atom": -0.1449,
  "formation_enthalpy_0k_ev_per_atom": 0.45,
  "sg": "Im-3m, No. 229",
  "lattice": [[6.9129, 0.0000, 0.0000], [-2.3043, 6.5175, 0.0000], [-2.3043, -3.2588, 5.6444]],
  "species": ["In", "In", "In", "In", "In", "In", "Pu"],
  "fractional_positions": [[0.5000, 0.7500, 0.2500], [0.2500, 0.5000, 0.7500], [0.5000, 0.2500, 0.7500], [0.2500, 0.7500, 0.5000], [0.7500, 0.5000, 0.2500], [0.7500, 0.2500, 0.5000], [0.0000, 0.0000, 0.0000]]
}


9.
{
  "formula": "BeW2Cl",
  "functional": "PBE-GGA",
  "state": "optimized geometry",
  "raw_formation_energy_ev_per_atom": 1.049,
  "relative_energy_ev_per_atom": 0.736,
  "dft_energy_ha_per_atom": -0.2507,
  "sg": "I-42d, No. 122",
  "lattice": [[3.7860, 0.0000, 0.0000], [0.0000, 3.7860, 0.0000], [1.8930, 1.8930, 8.8687]],
  "species": ["Cl", "Cl", "Be", "Be", "W", "W", "W", "W"],
  "fractional_positions": [[0.0000, 0.0000, 0.0000], [0.7500, 0.2500, 0.5000], [0.5000, 0.5000, 0.0000], [0.2500, 0.7500, 0.5000], [0.6054, 0.1250, 0.2500], [0.8750, 0.8554, 0.7500], [0.3750, 0.3946, 0.7500], [0.1446, 0.6250, 0.2500]]
}


10.
{
  "formula": "Bi2H2Ru",
  "functional": "PBE-GGA",
  "state": "optimized geometry",
  "dft_energy_ha_per_atom": -0.1556,
  "sg": "I4/mmm, No. 139",
  "lattice": [[-0.6602, -1.5553, -2.9436], [-2.1308, -2.1084, 1.5919], [-6.4677, 2.4465, -1.7988]],
  "species": ["Bi", "Bi", "H", "H", "Ru"],
  "fractional_positions": [[0.6277, 0.6277, 0.7447], [0.3723, 0.3723, 0.2553], [0.7500, 0.2500, 0.5000], [0.2500, 0.7500, 0.5000], [0.0000, 0.0000, 0.0000]]
}


11.
{
  "formula": "DyHoCdTc",
  "functional": "PBE-GGA",
  "state": "optimized geometry",
  "dft_energy_ha_per_atom": -0.1918,
  "formation_enthalpy_0k_ev_per_atom": -0.10,
  "sg": "F-43m, No. 216",
  "lattice": [[5.0281, 0.0000, 0.0000], [2.5140, 4.3544, 0.0000], [2.5140, 1.4515, 4.1054]],
  "species": ["Cd", "Ho", "Dy", "Tc"],
  "fractional_positions": [[0.7500, 0.7500, 0.7500], [0.5000, 0.5000, 0.5000], [0.0000, 0.0000, 0.0000], [0.2500, 0.2500, 0.2500]]
}


12.
{
  "formula": "CoRe2Te",
  "functional": "PBE-GGA",
  "state": "optimized geometry",
  "raw_formation_energy_ev_per_atom": 1.249,
  "dft_energy_ha_per_atom": -0.2770,
  "sg": "I-42d, No. 122",
  "lattice": [[-2.8433, 0.5142, -4.6631], [-3.6144, -3.7162, 1.7941], [-6.3744, 2.6084, 0.9476]],
  "species": ["Re", "Re", "Re", "Re", "Co", "Co", "Te", "Te"],
  "fractional_positions": [[0.5622, 0.1250, 0.2500], [0.1878, 0.6250, 0.2500], [0.8750, 0.8122, 0.7500], [0.3750, 0.4378, 0.7500], [0.5000, 0.5000, 0.0000], [0.2500, 0.7500, 0.5000], [0.7500, 0.2500, 0.5000], [0.0000, 0.0000, 0.0000]]
}